# PBEsol CdGeAs2O, optimized geometry
# - Total energy: -2.91 eV/atom
data_CdGeAs2O
_space_group_name_H-M_alt 'P 4/m m m'
_space_group_IT_number 123
_space_group_name_Hall '-P 4 2'
_cell_length_a 5.0074
_cell_length_b 5.0074
_cell_length_c 5.1671
_cell_angle_alpha 90.00
_cell_angle_beta 90.00
_cell_angle_gamma 90.00
loop_
_atom_site_label
_atom_site_fract_x
_atom_site_fract_y
_atom_site_fract_z
Cd1 0.0000 0.0000 0.0000
Ge1 0.0000 0.0000 0.5000
As1 0.0000 0.5000 0.0000
O1 0.5000 0.5000 0.5000

---

# PBEsol TiTe2, optimized geometry
# - Total energy: -5.83 eV/atom
data_TiTe2
_space_group_name_H-M_alt 'P -3 m 1'
_space_group_IT_number 164
_space_group_name_Hall '-P 3 2"'
_cell_length_a 3.6959
_cell_length_b 3.6959
_cell_length_c 6.4223
_cell_angle_alpha 90.00
_cell_angle_beta 90.00
_cell_angle_gamma 120.00
loop_
_atom_site_label
_atom_site_fract_x
_atom_site_fract_y
_atom_site_fract_z
Ti1 0.0000 0.0000 0.0000
Te1 0.3333 0.6667 0.7317

---

# PBEsol Y3Cu, optimized geometry
# - Energy relative to the elements: -104 meV/atom
# - Total energy: -6.30 eV/atom
data_Y3Cu
_space_group_name_H-M_alt 'P n m a'
_space_group_IT_number 62
_cell_length_a 6.7451
_cell_length_b 9.6031
_cell_length_c 6.4018
_cell_angle_alpha 90.00
_cell_angle_beta 90.00
_cell_angle_gamma 90.00
loop_
_space_group_symop_operation_xyz
'x,y,z'
'-x,-y,-z'
'-x+1/2,-y,z+1/2'
'x+1/2,y,-z+1/2'
'x+1/2,-y+1/2,-z+1/2'
'-x+1/2,y+1/2,z+1/2'
'-x,y+1/2,-z'
'x,-y+1/2,z'
loop_
_atom_site_label
_atom_site_fract_x
_atom_site_fract_y
_atom_site_fract_z
Y1 0.0183 0.2500 0.1327
Y2 0.1899 0.0601 0.6855
Cu1 0.0961 0.7500 0.4488

---

Question: Which formula does entry 3 have?
Answer: Y3Cu

---

What did the third record say?
# PBEsol Y3Cu, optimized geometry
# - Energy relative to the elements: -104 meV/atom
# - Total energy: -6.30 eV/atom
data_Y3Cu
_space_group_name_H-M_alt 'P n m a'
_space_group_IT_number 62
_cell_length_a 6.7451
_cell_length_b 9.6031
_cell_length_c 6.4018
_cell_angle_alpha 90.00
_cell_angle_beta 90.00
_cell_angle_gamma 90.00
loop_
_space_group_symop_operation_xyz
'x,y,z'
'-x,-y,-z'
'-x+1/2,-y,z+1/2'
'x+1/2,y,-z+1/2'
'x+1/2,-y+1/2,-z+1/2'
'-x+1/2,y+1/2,z+1/2'
'-x,y+1/2,-z'
'x,-y+1/2,z'
loop_
_atom_site_label
_atom_site_fract_x
_atom_site_fract_y
_atom_site_fract_z
Y1 0.0183 0.2500 0.1327
Y2 0.1899 0.0601 0.6855
Cu1 0.0961 0.7500 0.4488

---

Question: Among the records above, which one has the lowest total energy?
Answer: Y3Cu

---

Question: What is the total energy in the second record?
Answer: -5.83 eV/atom